Below is a relaxed structure of MnBe2Pb, with properties calculated at the PBE-GGA level.

Energy, eV per atom: -4.72
ΔE_f, eV per atom: 0.37
Total moment, μB/atom: 0.30
Symmetry: R3m

abc: 5.184 5.184 5.184
angles: 42.18 42.18 42.18
Element x y z (fractional)
Mn 0.000 0.000 0.000
Be 0.387 0.387 0.387
Be 0.723 0.723 0.723
Pb 0.199 0.199 0.199

=====

Below is a relaxed structure of MnBe2Pb, with properties calculated at the PBE-GGA level.

Energy, eV per atom: -4.34
ΔE_f, eV per atom: 0.75
Total moment, μB/atom: 0.76
Symmetry: R-3m

abc: 8.543 8.543 8.543
angles: 20.34 20.34 20.34
Element x y z (fractional)
Mn 0.000 0.000 0.000
Be 0.267 0.267 0.267
Be 0.733 0.733 0.733
Pb 0.500 0.500 0.500

=====

Below is a relaxed structure of MnBePb2, with properties calculated at the PBE-GGA level.

Energy, eV per atom: -4.43
ΔE_f, eV per atom: 0.65
Total moment, μB/atom: 0.97
Symmetry: Cmmm

abc: 5.050 5.050 3.345
angles: 90.00 90.00 95.05
Element x y z (fractional)
Mn 0.000 0.000 0.000
Be 0.500 0.500 0.000
Pb 0.000 0.500 0.500
Pb 0.500 0.000 0.500

=====

Below is a relaxed structure of MnBe2Pb, with properties calculated at the PBE-GGA level.

Energy, eV per atom: -4.61
ΔE_f, eV per atom: 0.47
Total moment, μB/atom: 0.66
Symmetry: C2/m

abc: 4.382 4.382 4.396
angles: 98.15 98.15 48.93
Element x y z (fractional)
Mn 0.000 0.000 0.000
Be 0.295 0.295 0.937
Be 0.705 0.705 0.063
Pb 0.500 0.500 0.500

=====

Below is a relaxed structure of MnBe2Pb, with properties calculated at the PBE-GGA level.

Energy, eV per atom: -4.27
ΔE_f, eV per atom: 0.81
Total moment, μB/atom: 0.65
Symmetry: F-43m

abc: 4.350 4.350 4.350
angles: 60.00 60.00 60.00
Element x y z (fractional)
Mn 0.000 0.000 0.000
Be 0.250 0.250 0.250
Be 0.500 0.500 0.500
Pb 0.750 0.750 0.750

=====

Below is a relaxed structure of MnBePb, with properties calculated at the PBE-GGA level.

Energy, eV per atom: -4.94
ΔE_f, eV per atom: 0.60
Total moment, μB/atom: 1.09
Relative energy among the computed polymorphs, meV/atom: 87
Symmetry: P3m1

abc: 4.032 4.032 3.690
angles: 90.00 90.00 120.00
Element x y z (fractional)
Mn 0.000 0.000 0.000
Be 0.667 0.333 0.849
Pb 0.333 0.667 0.476

=====

Below is a relaxed structure of MnBePb2, with properties calculated at the PBE-GGA level.

Energy, eV per atom: -4.44
ΔE_f, eV per atom: 0.63
Total moment, μB/atom: 0.95
Symmetry: I-4m2

abc: 5.912 5.912 5.912
angles: 139.99 139.99 57.87
Element x y z (fractional)
Mn 0.000 0.000 0.000
Be 0.750 0.250 0.500
Pb 0.250 0.750 0.500
Pb 0.500 0.500 0.000

=====

Below is a relaxed structure of MnBe2Pb, with properties calculated at the PBE-GGA level.

Energy, eV per atom: -4.60
ΔE_f, eV per atom: 0.48
Total moment, μB/atom: 0.48
Symmetry: Pm

abc: 2.845 3.586 5.883
angles: 90.00 90.03 90.00
Element x y z (fractional)
Mn 0.000 0.000 0.000
Be 0.499 0.000 0.693
Be 0.500 0.500 0.889
Pb 0.502 0.500 0.344

=====

Below is a relaxed structure of MnBe2Pb, with properties calculated at the PBE-GGA level.

Energy, eV per atom: -4.41
ΔE_f, eV per atom: 0.67
Total moment, μB/atom: 0.74
Symmetry: I-42d

abc: 8.832 8.832 8.832
angles: 153.61 153.61 37.66
Element x y z (fractional)
Mn 0.000 0.000 0.000
Mn 0.750 0.250 0.500
Be 0.375 0.209 0.334
Be 0.791 0.125 0.166
Be 0.875 0.041 0.666
Be 0.959 0.625 0.834
Pb 0.250 0.750 0.500
Pb 0.500 0.500 0.000

=====

Below is a relaxed structure of MnBe2Pb, with properties calculated at the PBE-GGA level.

Energy, eV per atom: -4.64
ΔE_f, eV per atom: 0.44
Total moment, μB/atom: 0.47
Symmetry: P2/m

abc: 2.960 2.985 6.987
angles: 90.00 99.89 90.00
Element x y z (fractional)
Mn 0.000 0.000 0.000
Be 0.442 0.500 0.849
Be 0.558 0.500 0.151
Pb 0.500 0.000 0.500

=====

Below is a relaxed structure of MnBePb2, with properties calculated at the PBE-GGA level.

Energy, eV per atom: -4.43
ΔE_f, eV per atom: 0.64
Total moment, μB/atom: 0.91
Symmetry: P2/m

abc: 3.379 3.841 6.501
angles: 90.00 95.87 90.00
Element x y z (fractional)
Mn 0.000 0.000 0.000
Be 0.000 0.000 0.500
Pb 0.463 0.500 0.742
Pb 0.537 0.500 0.258

=====

Below is a relaxed structure of MnBePb2, with properties calculated at the PBE-GGA level.

Energy, eV per atom: -4.42
ΔE_f, eV per atom: 0.66
Total moment, μB/atom: 0.95
Symmetry: Cmmm

abc: 3.505 3.505 7.075
angles: 90.00 90.00 101.10
Element x y z (fractional)
Mn 0.000 0.000 0.000
Be 0.000 0.000 0.500
Pb 0.500 0.500 0.261
Pb 0.500 0.500 0.739